! YNb3Cd, relaxed, DFT PBEsol; values from VASP
&SYSTEM
  ibrav = 0, nat = 5, ntyp = 3
/
ATOMIC_SPECIES
Nb 92.91 Nb.upf
Y 88.91 Y.upf
Cd 112.41 Cd.upf
ATOMIC_POSITIONS crystal
Nb 0.000 0.000 0.500
Nb 0.000 0.500 0.000
Nb 0.500 0.000 0.000
Y 0.500 0.500 0.500
Cd 0.000 0.000 0.000
CELL_PARAMETERS angstrom
-0.393 -1.056 -4.891
4.633 -1.931 0.045
-1.891 -4.511 1.126
! N(E_F) = 2.10 states/eV per atom
! Calculated total energy = -6.48 eV per atom
! V = 126.5 Å³/cell